# 1
This record from the Alexandria database describes Dy3SiBr3 after structural relaxation. The functional is PBE.

Computed properties:
- formation energy without anion corrections (eV/atom) = -1.368
- total moment (μB/f.u.) = 0.00
- theoretical density (g/cm3) = 6.42
- space-group type = I4_132
- DOS at the Fermi energy (states/eV/atom) = 0.3367

a b c (Å): 10.0486 10.0486 10.0486
angles (deg): 109.47 109.47 109.47
Closest atoms and distances in Å follow each position.
Element x y z (fractional)
Br (0.4951, 0.9902, 0.7451)  4 Dy 2.97-3.05
Br (0.4951, 0.5049, 0.2500)  4 Dy 2.97-3.05
Br (0.0098, 0.5049, 0.7549)  4 Dy 2.97-3.05
Br (0.2451, 0.9951, 0.9902)  4 Dy 2.97-3.05
Br (0.2549, 0.7451, 0.2500)  4 Dy 2.97-3.05
Br (0.7500, 0.9951, 0.5049)  4 Dy 2.97-3.05
Br (0.7500, 0.7549, 0.7451)  4 Dy 2.97-3.05
Br (0.4902, 0.7451, 0.9951)  4 Dy 2.97-3.05
Br (0.0049, 0.2500, 0.9951)  4 Dy 2.97-3.05
Br (0.2549, 0.5098, 0.5049)  4 Dy 2.97-3.05
Br (0.2451, 0.2500, 0.7549)  4 Dy 2.97-3.05
Br (0.0049, 0.7549, 0.5098)  4 Dy 2.97-3.05
Si (0.7500, 0.5000, 0.0000)  6 Dy 2.76
Si (0.7500, 0.2500, 0.2500)  6 Dy 2.76
Si (0.0000, 0.0000, 0.2500)  6 Dy 2.76
Si (0.5000, 0.2500, 0.5000)  6 Dy 2.76
Dy (0.9874, 0.7500, 0.0126)  2 Si 2.76, 4 Br 2.97-3.05
Dy (0.5126, 0.0253, 0.2626)  2 Si 2.76, 4 Br 2.97-3.05
Dy (0.7374, 0.4747, 0.4874)  2 Si 2.76, 4 Br 2.97-3.05
Dy (0.2500, 0.2374, 0.2626)  2 Si 2.76, 4 Br 2.97-3.05
Dy (0.2500, 0.0126, 0.4874)  2 Si 2.76, 4 Br 2.97-3.05
Dy (0.9747, 0.4874, 0.2374)  2 Si 2.76, 4 Br 2.97-3.05
Dy (0.5126, 0.4874, 0.7500)  2 Si 2.76, 4 Br 2.97-3.05
Dy (0.7626, 0.7500, 0.2374)  2 Si 2.76, 4 Br 2.97-3.05
Dy (0.9874, 0.2374, 0.4747)  2 Si 2.76, 4 Br 2.97-3.05
Dy (0.5253, 0.2626, 0.0126)  2 Si 2.76, 4 Br 2.97-3.05
Dy (0.7626, 0.0126, 0.0253)  2 Si 2.76, 4 Br 2.97-3.05
Dy (0.7374, 0.2626, 0.7500)  2 Si 2.76, 4 Br 2.97-3.05

***

# 2
This record from the Alexandria database describes Dy2SiBr after structural relaxation. The functional is PBE.

Computed properties:
- formation energy without anion corrections (eV/atom) = -0.973
- total moment (μB/f.u.) = 0.00
- theoretical density (g/cm3) = 6.73
- space-group type = R3m
- DOS at the Fermi energy (states/eV/atom) = 0.5909

a b c (Å): 4.0944 4.0944 7.7244
angles (deg): 74.63 74.63 60.00
Closest atoms and distances in Å follow each position.
Element x y z (fractional)
Dy (0.2668, 0.2668, 0.1996)  3 Si 2.80
Dy (0.0676, 0.0676, 0.7973)  3 Si 2.78
Si (0.6682, 0.6682, 0.9954)  6 Dy 2.78-2.80
Br (0.4974, 0.4974, 0.5077)  6 Dy 3.18-3.27

***

# 3
This record from the Alexandria database describes Dy4Si2Br3 after structural relaxation. The functional is PBE.

Computed properties:
- formation energy without anion corrections (eV/atom) = -1.222
- total moment (μB/f.u.) = 0.00
- theoretical density (g/cm3) = 6.06
- space-group type = C2/m
- DOS at the Fermi energy (states/eV/atom) = 0.2659

a b c (Å): 4.1263 4.1263 17.5748
angles (deg): 90.03 89.97 120.00
Closest atoms and distances in Å follow each position.
Element x y z (fractional)
Dy (0.6664, 0.3336, 0.1175)  3 Si 2.79
Dy (0.0006, 0.9994, 0.7090)  3 Si 2.87, 3 Br 2.97
Dy (0.9994, 0.0006, 0.2910)  3 Si 2.87, 3 Br 2.97
Dy (0.3336, 0.6664, 0.8825)  3 Si 2.79
Si (0.3329, 0.6671, 0.2002)  6 Dy 2.79-2.87
Si (0.6671, 0.3329, 0.7998)  6 Dy 2.79-2.87
Br (0.0000, 0.0000, 0.0000)  6 Dy 3.15
Br (0.6659, 0.3341, 0.3915)  3 Dy 2.97
Br (0.3341, 0.6659, 0.6085)  3 Dy 2.97

***

# 4
This record from the Alexandria database describes Dy2SiBr after structural relaxation. The functional is PBE.

Computed properties:
- formation energy without anion corrections (eV/atom) = -1.014
- total moment (μB/f.u.) = 0.00
- theoretical density (g/cm3) = 6.84
- space-group type = R-3m
- DOS at the Fermi energy (states/eV/atom) = 0.4093

a b c (Å): 4.1496 4.1496 7.4492
angles (deg): 73.83 73.83 60.00
Closest atoms and distances in Å follow each position.
Element x y z (fractional)
Dy (0.7350, 0.7350, 0.7951)  3 Si 2.80
Dy (0.2650, 0.2650, 0.2049)  3 Si 2.80
Si (0.0000, 0.0000, 0.0000)  6 Dy 2.80
Br (0.5000, 0.5000, 0.5000)  6 Dy 3.17

***

# 5
This record from the Alexandria database describes Dy8Si3Te4Br after structural relaxation. The functional is PBE.

Computed properties:
- formation energy without anion corrections (eV/atom) = -1.157
- total moment (μB/f.u.) = 0.00
- theoretical density (g/cm3) = 7.51
- space-group type = R-3m
- DOS at the Fermi energy (states/eV/atom) = 0.2913

a b c (Å): 8.4433 8.5885 8.4434
angles (deg): 119.44 120.00 90.00
Closest atoms and distances in Å follow each position.
Element x y z (fractional)
Dy (0.2497, 0.7215, 0.9717)  2 Si 2.84, 1 Br 3.01, 1 Te 3.03
Dy (0.7220, 0.7215, 0.9717)  2 Si 2.84, 1 Br 3.01, 1 Te 3.03
Dy (0.7393, 0.7180, 0.4787)  3 Si 2.88, 3 Te 3.15
Dy (0.7503, 0.2785, 0.0283)  2 Si 2.84, 1 Br 3.01, 1 Te 3.03
Dy (0.2498, 0.7216, 0.4995)  2 Si 2.84, 1 Br 3.01, 1 Te 3.03
Dy (0.2780, 0.2785, 0.0283)  2 Si 2.84, 1 Br 3.01, 1 Te 3.03
Dy (0.7502, 0.2784, 0.5005)  2 Si 2.84, 1 Br 3.01, 1 Te 3.03
Dy (0.2607, 0.2820, 0.5213)  3 Si 2.88, 3 Te 3.15
Te (0.0000, 0.0000, 0.5000)  6 Dy 3.15-3.19
Te (0.5000, 0.0000, 0.5000)  6 Dy 3.15-3.19
Te (0.5000, 0.0000, 0.0000)  6 Dy 3.03
Te (0.0000, 0.0000, 0.0000)  6 Dy 3.15-3.19
Si (0.5000, 0.5000, 0.5000)  6 Dy 2.84-2.88
Si (0.5000, 0.5000, 0.0000)  6 Dy 2.84-2.88
Si (0.0000, 0.5000, 0.5000)  6 Dy 2.84-2.88
Br (0.0000, 0.5000, 0.0000)  6 Dy 3.01

***

# 6
This record from the Alexandria database describes Sm2DyBr after structural relaxation. The functional is PBE.

Computed properties:
- formation energy without anion corrections (eV/atom) = -0.539
- total moment (μB/f.u.) = 0.00
- theoretical density (g/cm3) = 7.36
- space-group type = R-3m
- DOS at the Fermi energy (states/eV/atom) = 1.0158

a b c (Å): 3.6804 3.6804 10.6662
angles (deg): 80.07 80.07 60.00
Closest atoms and distances in Å follow each position.
Element x y z (fractional)
Sm (0.7426, 0.7426, 0.7723)  3 Br 3.19, 3 Dy 3.55
Sm (0.2574, 0.2574, 0.2277)  3 Br 3.19, 3 Dy 3.55
Br (0.0000, 0.0000, 0.0000)  6 Sm 3.19
Dy (0.5000, 0.5000, 0.5000)  6 Sm 3.55, 6 Dy 3.68

***

# 7
This record from the Alexandria database describes SmDyBr2 after structural relaxation. The functional is PBE.

Computed properties:
- formation energy without anion corrections (eV/atom) = -0.802
- total moment (μB/f.u.) = 0.00
- theoretical density (g/cm3) = 8.04
- space-group type = Fm-3m
- DOS at the Fermi energy (states/eV/atom) = 0.3080

a b c (Å): 5.1681 5.1681 5.1686
angles (deg): 60.00 60.00 60.00
Closest atoms and distances in Å follow each position.
Element x y z (fractional)
Br (0.7500, 0.7500, 0.7501)  4 Dy 3.16-3.17, 4 Sm 3.16
Br (0.2500, 0.2500, 0.2499)  4 Dy 3.16-3.17, 4 Sm 3.16
Sm (0.5000, 0.5000, 0.5000)  8 Br 3.16
Dy (0.0000, 0.0000, 0.0000)  8 Br 3.16-3.17

***

# 8
This record from the Alexandria database describes Sm2DyBr8 after structural relaxation. The functional is PBE.

Computed properties:
- formation energy without anion corrections (eV/atom) = -1.664
- total moment (μB/f.u.) = 0.96
- theoretical density (g/cm3) = 3.74
- space-group type = C2/m
- DOS at the Fermi energy (states/eV/atom) = 0.1535

a b c (Å): 6.8798 10.1230 10.1230
angles (deg): 44.70 98.11 98.11
Closest atoms and distances in Å follow each position.
Element x y z (fractional)
Sm (0.4472, 0.1465, 0.1465)  4 Br 2.71-2.82
Sm (0.5528, 0.8535, 0.8535)  4 Br 2.71-2.82
Br (0.6200, 0.7146, 0.7146)  1 Sm 2.71
Br (0.7293, 0.6830, 0.2053)  1 Sm 2.79, 1 Dy 2.83
Br (0.3800, 0.2854, 0.2854)  1 Sm 2.71
Br (0.7293, 0.2053, 0.6830)  1 Sm 2.79, 1 Dy 2.83
Br (0.2707, 0.7947, 0.3170)  1 Sm 2.79, 1 Dy 2.83
Br (0.1478, 0.8641, 0.8641)  1 Sm 2.82, 1 Dy 2.88
Br (0.2707, 0.3170, 0.7947)  1 Sm 2.79, 1 Dy 2.83
Br (0.8522, 0.1359, 0.1359)  1 Sm 2.82, 1 Dy 2.88
Dy (0.0000, 0.0000, 0.0000)  6 Br 2.83-2.88

***

# 9
This record from the Alexandria database describes SmDyBr after structural relaxation. The functional is PBE.

Computed properties:
- formation energy without anion corrections (eV/atom) = -0.741
- total moment (μB/f.u.) = 0.00
- theoretical density (g/cm3) = 6.46
- space-group type = C2/m
- DOS at the Fermi energy (states/eV/atom) = 0.8422

a b c (Å): 3.7318 3.7318 17.2633
angles (deg): 77.86 77.86 60.00
Closest atoms and distances in Å follow each position.
Element x y z (fractional)
Br (0.4572, 0.4572, 0.7721)  3 Sm 2.97
Br (0.2959, 0.2959, 0.5353)  3 Sm 2.97
Sm (0.0449, 0.0449, 0.8938)  3 Br 2.97
Sm (0.7082, 0.7082, 0.4135)  3 Br 2.97
Dy (0.2648, 0.2648, 0.0692)  9 Dy 3.56-3.73, 3 Sm 3.64
Dy (0.4886, 0.4886, 0.2382)  9 Dy 3.56-3.73, 3 Sm 3.64

***

# 10
This record from the Alexandria database describes Sm2DyBr6 after structural relaxation. The functional is PBE.

Computed properties:
- formation energy without anion corrections (eV/atom) = -1.437
- total moment (μB/f.u.) = 0.92
- theoretical density (g/cm3) = 5.41
- space-group type = R3
- DOS at the Fermi energy (states/eV/atom) = 0.5951

a b c (Å): 7.5111 7.5111 7.3434
angles (deg): 59.24 59.24 60.00
Closest atoms and distances in Å follow each position.
Element x y z (fractional)
Br (0.7305, 0.3921, 0.7155)  1 Dy 2.89, 2 Sm 2.91-3.15
Br (0.1619, 0.7305, 0.7155)  1 Dy 2.89, 2 Sm 2.91-3.15
Br (0.1733, 0.6077, 0.2715)  1 Dy 2.87, 2 Sm 2.93-3.20
Br (0.6077, 0.9474, 0.2715)  1 Dy 2.87, 2 Sm 2.93-3.20
Br (0.3921, 0.1619, 0.7155)  1 Dy 2.89, 2 Sm 2.91-3.15
Br (0.9474, 0.1733, 0.2715)  1 Dy 2.87, 2 Sm 2.93-3.20
Sm (0.7757, 0.7757, 0.6728)  6 Br 2.91-3.20
Sm (0.5574, 0.5574, 0.3277)  6 Br 2.93-3.15
Dy (0.3195, 0.3195, 0.0414)  6 Br 2.87-2.89

***

# 11
This record from the Alexandria database describes Sm2DyBr after structural relaxation. The functional is PBE.

Computed properties:
- formation energy without anion corrections (eV/atom) = -0.456
- total moment (μB/f.u.) = 0.00
- theoretical density (g/cm3) = 7.38
- space-group type = P4/mmm
- DOS at the Fermi energy (states/eV/atom) = 0.8987

a b c (Å): 3.5646 3.5646 9.6218
angles (deg): 90.00 90.00 90.00
Closest atoms and distances in Å follow each position.
Element x y z (fractional)
Sm (0.0000, 0.0000, 0.2367)  4 Br 3.40, 4 Sm 3.56, 4 Dy 3.57
Sm (0.0000, 0.0000, 0.7633)  4 Br 3.40, 4 Sm 3.56, 4 Dy 3.57
Br (0.5000, 0.5000, 0.0000)  8 Sm 3.40, 4 Br 3.56
Dy (0.5000, 0.5000, 0.5000)  4 Dy 3.56, 8 Sm 3.57